The following is a DFT calculation (PBE) of a relaxed structure of Mg2ScSi.

Results
- energy relative to the elements, uncorrected (eV per formula unit) = 0.002

Geometry as extended XYZ:
```
8
Lattice="4.005 0.000 0.000 0.000 4.005 0.000 2.003 2.003 10.574" Properties=species:S:1:pos:R:3 pbc="T T T"
Mg 2.969 1.001 2.643
Si 2.003 2.003 0.000
Si 2.003 4.005 5.287
Sc 0.000 0.000 0.000
Sc 4.005 2.003 5.287
Mg 1.036 3.004 2.643
Mg 5.007 4.972 7.930
Mg 3.004 3.039 7.930
```

The following is a DFT calculation (PBE) of a relaxed structure of CaGaPdPt.

Results
- E above lowest polymorph (eV/f.u.) = 0.00

Geometry as extended XYZ:
```
4
Lattice="4.654 0.000 0.000 2.327 4.031 0.000 2.327 1.344 3.800" Properties=species:S:1:pos:R:3 pbc="T T T"
Pt 6.982 4.031 2.850
Pd 2.327 1.344 0.950
Ga 4.654 2.687 1.900
Ca 0.000 0.000 0.000
```

The following is a DFT calculation (PBE) of a relaxed structure of ScNbO3.

Results
- energy relative to the elements, uncorrected (eV per formula unit) = -10.711

Geometry as extended XYZ:
```
5
Lattice="-2.825 -1.926 -2.049 1.281 -3.467 1.494 -2.504 0.400 3.076" Properties=species:S:1:pos:R:3 pbc="T T T"
O -1.252 0.200 1.538
Sc -2.024 -2.496 1.260
Nb 0.000 0.000 0.000
O -1.412 -0.963 -1.024
O 0.640 -1.733 0.747
```

The following is a DFT calculation (PBE) of a relaxed structure of Cd2H5Pt4.

Geometry as extended XYZ:
```
11
Lattice="4.199 0.000 1.722 2.066 6.073 0.943 0.117 -0.656 5.694" Properties=species:S:1:pos:R:3 pbc="T T T"
Pt 5.083 4.348 5.545
Pt 1.298 1.068 2.814
Cd 2.467 3.409 5.943
H 2.426 4.304 3.054
Pt 2.470 0.542 5.937
H 3.956 1.112 5.305
H 1.856 1.112 4.443
Cd 3.914 2.008 2.415
H 4.526 4.304 3.915
H 1.091 2.708 3.318
Pt 3.912 4.874 2.421
```

no.,electronic total energy (eV for the cell shown)
1,-29.9
2,-18.9
3,-42.0
4,-42.9